[1]
Below is a relaxed EuLu2Sc crystal, with properties calculated at the GGA-PBE level.

Computed properties:
The value obtained for the energy is -6.2647 eV/atom. Its formation energy is 0.147 eV per atom. The density of states at the Fermi level comes out at 7.56 states/eV per cell. The total magnetization comes out at 1.766 μB per atom. As for the crystal system: tetragonal.

```
EuLu2Sc
1.0
4.919 0.000 0.000
0.000 4.919 0.000
0.000 0.000 4.929
Eu Lu Sc
1 2 1
direct
0.000 0.000 0.000 Eu
0.000 0.500 0.500 Lu
0.500 0.000 0.500 Lu
0.500 0.500 0.000 Sc
```



[2]
Below is a relaxed EuLuSc2 crystal, with properties calculated at the GGA-PBE level.

Computed properties:
The value obtained for the energy is -6.6803 eV/atom. Its formation energy is 0.184 eV per atom. The density of states at the Fermi level comes out at 7.19 states/eV per cell. The total magnetization comes out at 1.737 μB per atom. As for the crystal system: tetragonal.

```
EuLuSc2
1.0
5.460 0.000 0.000
0.000 5.460 0.000
0.000 0.000 3.814
Eu Lu Sc
1 1 2
direct
0.000 0.000 0.000 Eu
0.500 0.500 0.000 Lu
0.000 0.500 0.500 Sc
0.500 0.000 0.500 Sc
```



[3]
Below is a relaxed EuLuSc crystal, with properties calculated at the GGA-PBE level.

Computed properties:
The value obtained for the energy is -6.9228 eV/atom. Its formation energy is 0.120 eV per atom. The density of states at the Fermi level comes out at 4.70 states/eV per cell. The total magnetization comes out at 2.336 μB per atom. As for the crystal system: tetragonal.

```
EuLuSc
1.0
-1.773 1.773 7.304
1.773 -1.773 7.304
1.773 1.773 -7.304
Eu Lu Sc
1 1 1
direct
0.000 0.000 0.000 Eu
0.316 0.316 0.000 Lu
0.672 0.672 0.000 Sc
```



> Look up the total magnetization of the first one.

1.766 μB per atom



> Number 1 is which compound?

EuLu2Sc



> Among the records above, which one has the lowest total magnetization?

EuLuSc2